# 1
! PBE-GGA TlSiOF2, relaxed; values from VASP
&SYSTEM
  ibrav = 0, nat = 5, ntyp = 4
/
ATOMIC_SPECIES
Si 28.09 Si.upf
O 16.00 O.upf
F 19.00 F.upf
Tl 204.38 Tl.upf
CELL_PARAMETERS angstrom
-1.4304 -4.2649 0.2365
2.9985 -0.8250 3.2588
-2.3894 0.9365 2.4356
ATOMIC_POSITIONS crystal
Si 0.0000 0.0000 0.0000
O 0.0000 0.0000 0.5000
F 0.5000 0.0000 0.0000
F 0.0000 0.5000 0.0000
Tl 0.5000 0.5000 0.5000
! total magnetization: 0.00 μB per cell
! energy relative to the elements, uncorrected: -1686 meV per atom
! density: 6.626 Mg/m³
! crystal system: tetragonal


# 2
! PBE-GGA YTiAl2, relaxed; values from VASP
&SYSTEM
  ibrav = 0, nat = 4, ntyp = 3
/
ATOMIC_SPECIES
Al 26.98 Al.upf
Y 88.91 Y.upf
Ti 47.87 Ti.upf
CELL_PARAMETERS angstrom
4.2641 0.0000 0.0000
0.0000 4.3284 0.0000
0.0000 0.0000 4.3284
ATOMIC_POSITIONS crystal
Al 0.0000 0.0000 0.5000
Al 0.0000 0.5000 0.0000
Y 0.5000 0.5000 0.5000
Ti 0.5000 0.0000 0.0000
! total magnetization: 1.37 μB per cell
! density: 3.965 Mg/m³
! ΔE_f: -0.251 eV per atom
! crystal system: tetragonal


# 3
! PBE-GGA CsZnPdCl6, relaxed; values from VASP
&SYSTEM
  ibrav = 0, nat = 9, ntyp = 4
/
ATOMIC_SPECIES
Cl 35.45 Cl.upf
Cs 132.91 Cs.upf
Zn 65.41 Zn.upf
Pd 106.42 Pd.upf
CELL_PARAMETERS angstrom
-4.8389 -2.2249 -3.4962
0.9739 -2.3053 -6.1028
1.1642 -7.1045 3.2029
ATOMIC_POSITIONS crystal
Cl 0.6214 0.3730 0.6905
Cl 0.9888 0.6363 0.6717
Cl 0.9886 0.3749 0.3282
Cl 0.6212 0.0057 0.3094
Cl 0.3720 0.6375 0.3308
Cl 0.3722 0.9904 0.6692
Cs 0.0119 0.9940 0.0000
Zn 0.3550 0.3225 0.5000
Pd 0.6687 0.6656 0.5000
! total magnetization: 1.01 μB per cell
! energy relative to the elements, uncorrected: -986 meV per atom
! density: 3.035 Mg/m³
! crystal system: monoclinic


# 4
! PBE-GGA Tb2Sm4Dy5, relaxed; values from VASP
&SYSTEM
  ibrav = 0, nat = 11, ntyp = 3
/
ATOMIC_SPECIES
Sm 150.36 Sm.upf
Tb 158.93 Tb.upf
Dy 162.50 Dy.upf
CELL_PARAMETERS angstrom
4.9650 0.0000 -0.8936
-0.9923 5.7131 -5.5131
0.9125 -6.9634 19.3094
ATOMIC_POSITIONS crystal
Sm 0.9546 0.0908 0.9093
Sm 0.6820 0.6376 0.3640
Sm 0.0454 0.9092 0.0907
Sm 0.3180 0.3624 0.6360
Tb 0.5912 0.8184 0.1824
Tb 0.4088 0.1816 0.8176
Dy 0.2270 0.5426 0.4540
Dy 0.8633 0.2692 0.7265
Dy 0.7730 0.4574 0.5460
Dy 0.1367 0.7308 0.2735
Dy 0.5000 0.0000 0.0000
! total magnetization: 0.00 μB per cell
! density: 8.087 Mg/m³
! ΔE_f: 0.015 eV per atom
! crystal system: monoclinic


# 5
! PBE-GGA GdHoI, relaxed; values from VASP
&SYSTEM
  ibrav = 0, nat = 3, ntyp = 3
/
ATOMIC_SPECIES
Ho 164.93 Ho.upf
Gd 157.25 Gd.upf
I 126.90 I.upf
CELL_PARAMETERS angstrom
-1.9982 -1.0553 -3.1004
-1.5921 -0.2420 3.4822
-2.6232 7.0510 -0.7094
ATOMIC_POSITIONS crystal
Ho 0.0000 0.0000 0.0087
Gd 0.3333 0.6667 0.6609
I 0.6667 0.3333 0.3304
! total magnetization: 7.53 μB per cell
! energy relative to the elements, uncorrected: -523 meV per atom
! density: 7.742 Mg/m³
! crystal system: trigonal